No. 1
PBE CaCuRh2, relaxed; electronic total energy = -0.1828 Ha/atom; spin magnetization = 0.66 Bohr magnetons per cell; energy of formation = 21.9 kJ/mol of atoms; DOS at the Fermi energy = 1.24 states/eV per atom; SG = R-3m; distance to the lowest polymorph of the same formula = 270 meV per atom
1.0
1.484 0.857 8.608
-1.484 0.857 8.608
0.000 -1.713 8.608
Ca Cu Rh
1 1 2
Cartesian
0.000 0.000 0.000
0.000 0.000 12.913
0.000 0.000 6.281
0.000 0.000 19.544

No. 2
PBE BaZnCd2Cl8, relaxed; formation energy (no corrections) = -16.34 eV/f.u.; electronic total energy = -0.1107 Ha/atom; spin magnetization = 0.00 Bohr magnetons per cell; DOS at the Fermi energy = 0.00 states/eV per atom; SG = P2/m
1.0
6.252 0.000 0.000
0.000 8.255 0.000
-0.340 0.000 6.488
Ba Zn Cd Cl
1 1 2 8
Cartesian
0.000 0.000 0.000
0.000 4.127 0.000
2.956 2.205 3.244
2.956 6.050 3.244
1.427 2.441 1.018
1.427 5.814 1.018
1.419 4.127 4.289
1.580 0.000 4.089
4.332 0.000 2.399
4.493 4.127 2.199
4.485 2.441 5.470
4.485 5.814 5.470

> electronic total energy of number 1 (CaCuRh2)?

-0.1828 Ha/atom

> What is the formula in the second record?

BaZnCd2Cl8

> Which formula does entry 2 have?

BaZnCd2Cl8